[1]
A relaxed GdInIr crystal. Source: OQMD, functional PBE-GGA.

a = 4.7245 Å, b = 4.7245 Å, c = 6.7272 Å
α = 90.00°, β = 90.00°, γ = 120.00°
Element x y z (fractional)
Gd 0.0000 0.0000 0.0000
Gd 0.0000 0.0000 0.5000
In 0.3333 0.6667 0.2500
In 0.6667 0.3333 0.7500
Ir 0.6667 0.3333 0.2500
Ir 0.3333 0.6667 0.7500

- Distance to the lowest polymorph of the same formula: 146.7 meV per atom

[2]
A relaxed Ge2PPd6 crystal. Source: OQMD, functional PBE-GGA.

a = 6.7081 Å, b = 6.7081 Å, c = 3.4871 Å
α = 90.00°, β = 90.00°, γ = 120.00°
Element x y z (fractional)
Ge 0.6667 0.3333 0.0000
Ge 0.3333 0.6667 0.0000
P 0.0000 0.0000 0.5000
Pd 0.7429 0.0000 0.0000
Pd 0.2571 0.2571 0.0000
Pd 0.0000 0.7429 0.0000
Pd 0.3928 0.0000 0.5000
Pd 0.0000 0.3928 0.5000
Pd 0.6072 0.6072 0.5000

- Electronic total energy: -5.61 eV per atom

[3]
A relaxed SrSiSn2Pt crystal. Source: OQMD, functional PBE-GGA.

a = 6.3349 Å, b = 6.3349 Å, c = 6.3349 Å
α = 136.38°, β = 136.38°, γ = 63.39°
Element x y z (fractional)
Pt 0.6296 0.6296 0.0000
Si 0.4132 0.4132 0.0000
Sn 0.7581 0.2581 0.5000
Sn 0.2581 0.7581 0.5000
Sr 0.0010 0.0010 0.0000

- Electronic total energy: -4.84 eV per atom

Number 1: V 21.673 Å³ per atom. Number 2: V 15.099 Å³ per atom. Number 3: V 23.885 Å³ per atom.